# 1
Here is a geometry-optimized SbWCl2 structure from the Alexandria database. Energies are from PBE.

Lattice parameters (Å, degrees): 5.0030 5.0030 3.0898 90.00 90.00 90.00
With the nearest neighbours (Å) after each atom.
Positions (direct):
Sb 0.0000 0.0000 0.0000  8 Cl 2.94, 2 Sb 3.09
W 0.5000 0.5000 0.0000  8 Cl 2.94, 2 W 3.09
Cl 0.0000 0.5000 0.5000  4 W 2.94, 4 Sb 2.94, 2 Cl 3.09
Cl 0.5000 0.0000 0.5000  4 W 2.94, 4 Sb 2.94, 2 Cl 3.09

## Properties
energy	-16.4	eV per cell
ρ	8.08	g/cm3
magnetization	0.0	Bohr magnetons per cell
ΔE_f (raw)	106	kJ/mol of atoms
energy above the most stable polymorph in this dataset	1.232	eV/atom


# 2
Here is a geometry-optimized Ge2HBr8 structure from the Alexandria database. Energies are from PBE.

Lattice parameters (Å, degrees): 8.5156 8.5156 7.3370 97.80 97.80 75.82
With the nearest neighbours (Å) after each atom.
Positions (direct):
Ge 0.2054 0.2054 0.3386  4 Br 2.35-2.56
Ge 0.7946 0.7946 0.6614  4 Br 2.35-2.56
H 0.0000 0.0000 0.5000  2 Br 1.72
Br 0.0392 0.6725 0.8294  1 Ge 2.35
Br 0.1205 0.1205 0.6254  1 H 1.72
Br 0.3275 0.9608 0.1706  1 Ge 2.35
Br 0.3827 0.3827 0.4448  1 Ge 2.38
Br 0.6173 0.6173 0.5552  1 Ge 2.38
Br 0.6725 0.0392 0.8294  1 Ge 2.35
Br 0.8795 0.8795 0.3746  1 H 1.72
Br 0.9608 0.3275 0.1706  1 Ge 2.35

## Properties
energy	-30.6	eV per cell
ρ	2.57	g/cm3
magnetization	0.0	Bohr magnetons per cell


# 3
Here is a geometry-optimized Nd3Y4Er structure from the Alexandria database. Energies are from PBE.

Lattice parameters (Å, degrees): 11.5085 7.3553 6.3436 90.00 90.00 90.00
With the nearest neighbours (Å) after each atom.
Positions (direct):
Nd 0.0000 0.1259 0.0000  4 Nd 3.56-3.58, 6 Y 3.60-3.70, 2 Er 3.67-3.69
Nd 0.2502 0.1246 0.6698  4 Nd 3.56-3.66, 2 Er 3.56-3.59, 6 Y 3.58-3.69
Nd 0.2498 0.8754 0.1698  4 Nd 3.56-3.66, 2 Er 3.56-3.59, 6 Y 3.58-3.69
Nd 0.5000 0.8741 0.5000  4 Nd 3.56-3.58, 6 Y 3.60-3.70, 2 Er 3.67-3.69
Nd 0.7498 0.1246 0.6698  4 Nd 3.56-3.66, 2 Er 3.56-3.59, 6 Y 3.58-3.69
Nd 0.7502 0.8754 0.1698  4 Nd 3.56-3.66, 2 Er 3.56-3.59, 6 Y 3.58-3.69
Y 0.0000 0.3757 0.5026  6 Y 3.54-3.66, 4 Nd 3.58-3.68, 2 Er 3.65-3.70
Y 0.0000 0.6234 0.0032  6 Y 3.56-3.66, 4 Nd 3.58-3.70, 2 Er 3.65-3.67
Y 0.2479 0.6235 0.6665  6 Y 3.54-3.66, 1 Er 3.55, 5 Nd 3.60-3.69
Y 0.2521 0.3765 0.1665  6 Y 3.54-3.66, 1 Er 3.55, 5 Nd 3.60-3.69
Y 0.5000 0.3766 0.5032  6 Y 3.56-3.66, 4 Nd 3.58-3.70, 2 Er 3.65-3.67
Y 0.5000 0.6243 0.0026  6 Y 3.54-3.66, 4 Nd 3.58-3.68, 2 Er 3.65-3.70
Y 0.7479 0.3765 0.1665  6 Y 3.54-3.66, 1 Er 3.55, 5 Nd 3.60-3.69
Y 0.7521 0.6235 0.6665  6 Y 3.54-3.66, 1 Er 3.55, 5 Nd 3.60-3.69
Er 0.0000 0.8721 0.5020  6 Y 3.55-3.70, 6 Nd 3.56-3.69
Er 0.5000 0.1279 0.0020  6 Y 3.55-3.70, 6 Nd 3.56-3.69

## Properties
energy	-89.2	eV per cell
ρ	5.91	g/cm3
magnetization	0.0	Bohr magnetons per cell
formation enthalpy at 0 K	0.016	eV/atom
energy above the most stable polymorph in this dataset	0.000	eV/atom


# 4
Here is a geometry-optimized Ti2AsO structure from the Alexandria database. Energies are from PBE.

Lattice parameters (Å, degrees): 4.2363 4.2363 4.2363 60.00 60.00 60.00
With the nearest neighbours (Å) after each atom.
Positions (direct):
Ti 0.2500 0.2500 0.2500  4 O 2.59, 4 As 2.59
Ti 0.7500 0.7500 0.7500  4 As 2.59, 4 O 2.59
As 0.0000 0.0000 0.0000  8 Ti 2.59
O 0.5000 0.5000 0.5000  8 Ti 2.59

## Properties
energy	-29.3	eV per cell
ρ	5.77	g/cm3
magnetization	0.0	Bohr magnetons per cell
ΔE_f (raw)	-94	kJ/mol of atoms
energy above the most stable polymorph in this dataset	0.391	eV/atom


# 5
Here is a geometry-optimized La5Pm8Al structure from the Alexandria database. Energies are from PBE.

Lattice parameters (Å, degrees): 8.6085 8.6085 8.6085 112.45 112.45 103.66
With the nearest neighbours (Å) after each atom.
Positions (direct):
La 0.0000 0.0000 0.0000  4 Pm 3.21
La 0.0383 0.4225 0.8297  8 Pm 3.52-3.74, 2 La 3.62
La 0.5775 0.4072 0.6158  8 Pm 3.52-3.74, 2 La 3.62
La 0.5928 0.2086 0.1703  8 Pm 3.52-3.74, 2 La 3.62
La 0.7914 0.9617 0.3842  8 Pm 3.52-3.74, 2 La 3.62
Pm 0.0891 0.3471 0.3976  1 Al 3.03, 1 La 3.21
Pm 0.2776 0.1586 0.7161  1 Al 3.19, 3 La 3.52-3.53, 1 Pm 3.52
Pm 0.3085 0.9109 0.2580  1 Al 3.03, 1 La 3.21
Pm 0.4386 0.7224 0.8810  1 Al 3.19, 3 La 3.52-3.53, 1 Pm 3.52
Pm 0.4425 0.5614 0.2839  1 Al 3.19, 3 La 3.52-3.53, 1 Pm 3.52
Pm 0.6529 0.0505 0.7420  1 Al 3.03, 1 La 3.21
Pm 0.8414 0.5575 0.1190  1 Al 3.19, 3 La 3.52-3.53, 1 Pm 3.52
Pm 0.9495 0.6915 0.6024  1 Al 3.03, 1 La 3.21
Al 0.2500 0.7500 0.5000  8 Pm 3.03-3.19

## Properties
energy	-64.9	eV per cell
ρ	6.41	g/cm3
magnetization	0.0	Bohr magnetons per cell
formation enthalpy at 0 K	0.105	eV/atom


# 6
Here is a geometry-optimized Ru2BrO structure from the Alexandria database. Energies are from PBE.

Lattice parameters (Å, degrees): 7.4431 7.4431 7.4431 145.67 145.67 49.34
With the nearest neighbours (Å) after each atom.
Positions (direct):
Ru 0.0083 0.6250 0.8833  2 O 2.10
Ru 0.3750 0.2583 0.3833  2 O 2.10
Ru 0.7417 0.1250 0.1167  2 O 2.10
Ru 0.8750 0.9917 0.6167  2 O 2.10
Br 0.2500 0.7500 0.5000  4 Ru 2.58
Br 0.5000 0.5000 0.0000  4 Ru 2.58
O 0.0000 0.0000 0.0000  4 Ru 2.10
O 0.7500 0.2500 0.5000  4 Ru 2.10

## Properties
energy	-47.8	eV per cell
ρ	7.58	g/cm3
magnetization	0.0	Bohr magnetons per cell
ΔE_f (raw)	31	kJ/mol of atoms
energy above the most stable polymorph in this dataset	0.000	eV/atom


# 7
Here is a geometry-optimized RbHg3Pd structure from the Alexandria database. Energies are from PBE.

Lattice parameters (Å, degrees): 9.5808 7.1709 10.6601 90.00 119.74 90.00
With the nearest neighbours (Å) after each atom.
Positions (direct):
Rb 0.1752 0.2430 0.0768  9 Hg 3.45-3.83, 1 Pd 3.77
Rb 0.1752 0.2570 0.5768  9 Hg 3.45-3.83, 1 Pd 3.77
Rb 0.8248 0.7430 0.4232  9 Hg 3.45-3.83, 1 Pd 3.77
Rb 0.8248 0.7570 0.9232  9 Hg 3.45-3.83, 1 Pd 3.77
Hg 0.0517 0.5600 0.2699  2 Pd 2.73-2.77
Hg 0.0517 0.9400 0.7699  2 Pd 2.73-2.77
Hg 0.2841 0.7453 0.1428  2 Pd 2.81-2.86
Hg 0.2841 0.7547 0.6428  2 Pd 2.81-2.86
Hg 0.4391 0.2004 0.4429  2 Pd 2.77-2.89
Hg 0.4391 0.2996 0.9429  2 Pd 2.77-2.89
Hg 0.5609 0.7004 0.0571  2 Pd 2.77-2.89
Hg 0.5609 0.7996 0.5571  2 Pd 2.77-2.89
Hg 0.7159 0.2453 0.3572  2 Pd 2.81-2.86
Hg 0.7159 0.2547 0.8572  2 Pd 2.81-2.86
Hg 0.9483 0.0600 0.2301  2 Pd 2.73-2.77
Hg 0.9483 0.4400 0.7301  2 Pd 2.73-2.77
Pd 0.2384 0.6275 0.8690  6 Hg 2.73-2.89
Pd 0.2384 0.8725 0.3690  6 Hg 2.73-2.89
Pd 0.7616 0.1275 0.6310  6 Hg 2.73-2.89
Pd 0.7616 0.3725 0.1310  6 Hg 2.73-2.89

## Properties
energy	-31.6	eV per cell
ρ	8.29	g/cm3
magnetization	0.0	Bohr magnetons per cell
formation enthalpy at 0 K	-0.164	eV/atom
energy above the most stable polymorph in this dataset	0.091	eV/atom


# 8
Here is a geometry-optimized Na2Sm2Tl3 structure from the Alexandria database. Energies are from PBE.

Lattice parameters (Å, degrees): 14.9024 14.9024 3.7479 90.00 90.00 165.06
With the nearest neighbours (Å) after each atom.
Positions (direct):
Na 0.1986 0.8014 0.0000  4 Tl 3.31, 2 Na 3.60
Na 0.8014 0.1986 0.0000  4 Tl 3.31, 2 Na 3.60
Sm 0.0680 0.9320 0.0000  8 Tl 3.32-3.36
Sm 0.9320 0.0680 0.0000  8 Tl 3.32-3.36
Tl 0.3667 0.6333 0.5000  4 Na 3.31, 4 Sm 3.32
Tl 0.5000 0.5000 0.5000  8 Sm 3.36, 2 Tl 3.75
Tl 0.6333 0.3667 0.5000  4 Na 3.31, 4 Sm 3.32

## Properties
energy	-20.7	eV per cell
ρ	7.43	g/cm3
magnetization	0.0	Bohr magnetons per cell
formation enthalpy at 0 K	-0.217	eV/atom


# 9
Here is a geometry-optimized LiIr2Ru structure from the Alexandria database. Energies are from PBE.

Lattice parameters (Å, degrees): 4.4581 4.4581 2.7860 90.00 90.00 90.00
With the nearest neighbours (Å) after each atom.
Positions (direct):
Li 0.0000 0.0000 0.0000  8 Ir 2.63, 2 Li 2.79
Ir 0.0000 0.5000 0.5000  4 Ru 2.63, 4 Li 2.63, 2 Ir 2.79
Ir 0.5000 0.0000 0.5000  4 Ru 2.63, 4 Li 2.63, 2 Ir 2.79
Ru 0.5000 0.5000 0.0000  8 Ir 2.63, 2 Ru 2.79

## Properties
energy	-28.3	eV per cell
ρ	14.77	g/cm3
magnetization	0.2	Bohr magnetons per cell
formation enthalpy at 0 K	0.155	eV/atom
energy above the most stable polymorph in this dataset	0.181	eV/atom


# 10
Here is a geometry-optimized PuMg2InAu4 structure from the Alexandria database. Energies are from PBE.

Lattice parameters (Å, degrees): 9.3447 9.3447 9.3447 28.91 28.91 28.91
With the nearest neighbours (Å) after each atom.
Positions (direct):
Pu 0.0000 0.0000 0.0000  8 Au 3.09-3.22
Mg 0.2430 0.2430 0.2430  6 Au 2.81-2.84
Mg 0.7570 0.7570 0.7570  6 Au 2.81-2.84
In 0.5000 0.5000 0.5000  8 Au 2.96-2.97
Au 0.1199 0.1199 0.1199  3 Mg 2.81, 3 In 2.97
Au 0.3899 0.3899 0.3899  3 Mg 2.84, 1 In 2.96, 3 Pu 3.09
Au 0.6101 0.6101 0.6101  3 Mg 2.84, 1 In 2.96, 3 Pu 3.09
Au 0.8801 0.8801 0.8801  3 Mg 2.81, 3 In 2.97

## Properties
energy	-36.7	eV per cell
ρ	11.76	g/cm3
magnetization	5.6	Bohr magnetons per cell
formation enthalpy at 0 K	-0.412	eV/atom


# 11
Here is a geometry-optimized KZn2I structure from the Alexandria database. Energies are from PBE.

Lattice parameters (Å, degrees): 7.5486 7.5486 7.5486 100.97 100.97 128.27
With the nearest neighbours (Å) after each atom.
Positions (direct):
K 0.0000 0.0000 0.0000  2 I 3.29, 4 Zn 3.58
K 0.7500 0.2500 0.5000  2 I 3.29, 4 Zn 3.58
Zn 0.1381 0.6250 0.0131  2 Zn 3.30, 2 I 3.41, 2 K 3.58
Zn 0.3750 0.3881 0.5131  2 Zn 3.30, 2 I 3.41, 2 K 3.58
Zn 0.6119 0.1250 0.9869  2 Zn 3.30, 2 I 3.41, 2 K 3.58
Zn 0.8750 0.8619 0.4869  2 Zn 3.30, 2 I 3.41, 2 K 3.58
I 0.2500 0.7500 0.5000  2 K 3.29, 4 Zn 3.41
I 0.5000 0.5000 0.0000  2 K 3.29, 4 Zn 3.41

## Properties
energy	-11.7	eV per cell
ρ	3.24	g/cm3
magnetization	0.0	Bohr magnetons per cell
ΔE_f (raw)	-16	kJ/mol of atoms
energy above the most stable polymorph in this dataset	0.000	eV/atom